## K3AgF7 (PBE)

Data for a relaxed structure of K3AgF7.

Cell lengths 8.7859, 8.3361, 6.7806 Å; angles 90.00, 120.76, 90.00 degrees
Closest atoms and distances in Å follow each position.
Space group Cm (No. 8)
Symmetry-distinct sites (fractional):
K  0.0000  0.0000  0.0000  3 F 2.48-2.65
K  0.0087  0.2751  0.5173  4 F 2.47-2.77
Ag  0.4973  0.0000  0.0103  6 F 2.00-2.16
F  0.1378  0.3211  0.2247  1 Ag 2.01
F  0.1565  0.5000  0.8522  1 Ag 2.15
F  0.3478  0.0000  0.1828  1 Ag 2.16
F  0.3554  0.1729  0.7872  1 Ag 2.00
F  0.4622  0.5000  0.6115  3 K 2.47-2.48

Density: 2.787 g cm⁻³
Raw total energy: -3.700 eV per atom

## Y3TmNi (PBE)

Data for a relaxed structure of Y3TmNi.

Cell lengths 5.3197, 5.3197, 5.3197 Å; angles 90.00, 90.00, 90.00 degrees
Closest atoms and distances in Å follow each position.
Space group Pm-3m (No. 221)
Symmetry-distinct sites (fractional):
Y  0.0000  0.0000  0.5000  2 Ni 2.66
Tm  0.5000  0.5000  0.5000  12 Y 3.76
Ni  0.0000  0.0000  0.0000  6 Y 2.66

Density: 5.453 g cm⁻³
Calculated formation energy: -1 kJ per mole of atoms
Raw total energy: -5.943 eV per atom

## Mg8ZnIn2 (PBE)

Data for a relaxed structure of Mg8ZnIn2.

Cell lengths 16.0200, 4.9284, 6.9078 Å; angles 90.00, 115.49, 90.00 degrees
Closest atoms and distances in Å follow each position.
Space group C2/m (No. 12)
Symmetry-distinct sites (fractional):
Mg  0.0003  0.0000  0.2493  2 Zn 3.01, 6 Mg 3.09-3.19, 2 In 3.13-3.14
Mg  0.1391  0.5000  0.9044  1 Zn 2.72, 2 In 3.01
Mg  0.1400  0.5000  0.3762  1 Zn 2.72, 2 In 3.02
Mg  0.1769  0.0000  0.6783  8 Mg 3.09-3.12, 3 In 3.20-3.44
Zn  0.0000  0.5000  0.5000  8 Mg 2.72-3.01
In  0.1815  0.0000  0.1813  10 Mg 3.01-3.20

Density: 3.302 g cm⁻³
Calculated formation energy: -4 kJ per mole of atoms
Raw total energy: -1.816 eV per atom